# 1
The following is a DFT calculation (PBE) of a geometry-optimized Pm2NdDy3Y6 structure.

Space group ... No. 12
Formation enthalpy at 0 K ... 0.017 eV/atom
Total magnetic moment ... 0.00 μB/f.u.
Volume ... 32.6 Å³ per atom
Final energy ... -0.204 Ha/atom

abc: 6.215 6.215 11.853
angles: 94.99 94.99 119.96
Element x y z (fractional)
Dy 0.833 0.167 0.500
Dy 0.167 0.833 0.500
Dy 0.500 0.500 0.500
Y 0.751 0.751 0.253
Y 0.916 0.582 0.747
Y 0.084 0.418 0.253
Y 0.582 0.916 0.747
Y 0.418 0.084 0.253
Y 0.249 0.249 0.747
Pm 0.333 0.667 0.000
Pm 0.667 0.333 0.000
Nd 0.000 0.000 0.000

=====

# 2
The following is a DFT calculation (PBE) of a geometry-optimized Tl2In2Si structure.

Space group ... No. 127
Uncorrected formation energy ... 0.353 eV/atom
Total magnetic moment ... 0.00 μB/f.u.
Volume ... 28.6 Å³ per atom
Final energy ... -0.102 Ha/atom
Excess energy over the best structure of this formula in the dataset ... 123 meV per atom

abc: 7.464 7.464 5.129
angles: 90.00 90.00 90.00
Element x y z (fractional)
In 0.662 0.838 0.500
In 0.162 0.662 0.500
In 0.838 0.338 0.500
In 0.338 0.162 0.500
Tl 0.152 0.348 0.000
Tl 0.348 0.848 0.000
Tl 0.652 0.152 0.000
Tl 0.848 0.652 0.000
Si 0.000 0.000 0.000
Si 0.500 0.500 0.000

=====

# 3
The following is a DFT calculation (PBE) of a geometry-optimized HfNi2Pt2 structure.

Space group ... No. 139
Formation enthalpy at 0 K ... -0.476 eV/atom
Total magnetic moment ... 0.00 μB/f.u.
Volume ... 15.7 Å³ per atom
Final energy ... -0.264 Ha/atom
Excess energy over the best structure of this formula in the dataset ... 28 meV per atom

abc: 3.463 3.463 6.991
angles: 75.66 75.66 90.00
Element x y z (fractional)
Ni 0.750 0.250 0.500
Ni 0.250 0.750 0.500
Hf 0.000 0.000 0.000
Pt 0.396 0.396 0.208
Pt 0.604 0.604 0.792